A relaxed structure of LiCr2AgF6, computed with PBE with a Hubbard U.

a b c (Å): 5.472 5.600 5.765
angles (deg): 94.37 115.02 117.65
Space group P1 (No. 1)
Inequivalent atoms, fractional coordinates:
Li 0.000 0.000 0.000 [1 per cell]
Cr 0.391 0.685 0.074 [1 per cell]
Cr 0.427 0.191 0.618 [1 per cell]
Ag 0.946 0.476 0.398 [1 per cell]
F 0.263 0.297 0.846 [1 per cell]
F 0.286 0.378 0.343 [1 per cell]
F 0.494 0.033 0.333 [1 per cell]
F 0.597 0.994 0.853 [1 per cell]
F 0.861 0.821 0.270 [1 per cell]
F 0.952 0.625 0.845 [1 per cell]

Computed properties:
Crystal system   triclinic
Total moment   8.000 μB per formula unit
Uncorrected energy   -5.39 eV per atom